Compound: NdScWO6
Source: Alexandria
Functional: PBE with a Hubbard U
Structure: optimized geometry

Lattice parameters (Å, degrees): 4.9883 4.9883 9.8978 90.00 90.00 90.00
Closest atoms and distances in Å follow each position.
Space group P4_2nm (No. 102)
One atom of each set of equivalent atoms:
Nd 0.0000 0.0000 0.0000  6 O 2.30-2.40
Sc 0.0000 0.0000 0.6664  6 O 2.12-2.19
W 0.0000 0.0000 0.3341  6 O 1.95-1.98
O 0.1736 0.1736 0.4911  1 W 1.98, 1 Sc 2.12
O 0.1983 0.1983 0.1973  1 W 1.95, 1 Sc 2.15
O 0.2222 0.2222 0.8207  1 W 1.96, 1 Sc 2.19

Results
calculated total energy = -8.164 eV/atom
M_tot = 0.000 μB per cell
D(E_F) = 0.00 states/eV/atom